# 1
Compound: ThVGa2
Source: Alexandria via LeMat-Bulk
Functional: PBE
Structure: relaxed

Lattice parameters (Å, degrees): 3.370 3.370 6.935 90.00 90.00 90.00
Site moments in Bohr magnetons follow the coordinates.
Fractional coordinates of all 4 atoms:
V  0.500  0.500  0.000  1.96
Ga  0.000  0.000  0.806  0.00
Th  0.500  0.500  0.500  0.01
Ga  0.000  0.000  0.194  0.00

## Properties
- space-group type = No. 123
- ΔE_f (eV per atom) = -0.202


# 2
Compound: Cd2FeTe
Source: Alexandria via LeMat-Bulk
Functional: PBE
Structure: relaxed

Lattice parameters (Å, degrees): 4.960 4.960 4.960 60.00 60.00 60.00
Site moments in Bohr magnetons follow the coordinates.
Fractional coordinates of all 4 atoms:
Cd  0.750  0.750  0.750  -0.04
Cd  0.000  0.000  0.000  -0.04
Fe  0.500  0.500  0.500  2.68
Te  0.250  0.250  0.250  -0.04

## Properties
- energy relative to the elements, uncorrected (eV/atom) = 0.4911
- space-group type = No. 216


# 3
Compound: LiZnTc3
Source: Alexandria via LeMat-Bulk
Functional: PBE
Structure: relaxed

Lattice parameters (Å, degrees): 4.134 4.134 4.134 90.00 90.00 90.00
Fractional coordinates of all 5 atoms:
Zn  0.500  0.500  0.500
Tc  0.000  0.500  0.000
Tc  0.000  0.000  0.500
Li  0.000  0.000  0.000
Tc  0.500  0.000  0.000

## Properties
- space-group type = No. 221
- ΔE to the lowest computed polymorph (kJ/mol of formula units) = 0
- ΔE_f (eV per atom) = 1.201


# 4
Compound: Ca2Cd2In
Source: Alexandria via LeMat-Bulk
Functional: PBE
Structure: relaxed

Lattice parameters (Å, degrees): 8.073 8.073 4.340 90.00 90.00 90.00
Fractional coordinates of all 10 atoms:
Cd  0.373  0.873  0.000
Cd  0.873  0.627  0.000
In  0.000  0.000  0.000
Cd  0.127  0.373  0.000
In  0.500  0.500  0.000
Ca  0.327  0.173  0.500
Cd  0.627  0.127  0.000
Ca  0.173  0.673  0.500
Ca  0.827  0.327  0.500
Ca  0.673  0.827  0.500

## Properties
- space-group type = No. 127
- ΔE to the lowest computed polymorph (kJ/mol of formula units) = 13
- ΔE_f (eV per atom) = -0.319


# 5
Compound: Cd2FePt
Source: Alexandria via LeMat-Bulk
Functional: PBE
Structure: relaxed

Lattice parameters (Å, degrees): 4.816 4.816 2.960 90.00 90.00 90.00
Site moments in Bohr magnetons follow the coordinates.
Fractional coordinates of all 4 atoms:
Cd  0.000  0.000  0.000  -0.04
Fe  0.500  0.000  0.500  2.70
Pt  0.000  0.500  0.500  0.01
Cd  0.500  0.500  0.000  -0.04

## Properties
- space-group type = No. 123
- ΔE_f (eV per atom) = 0.109


# 6
Compound: NbTlSbO6
Source: Alexandria via LeMat-Bulk
Functional: PBE
Structure: relaxed

Lattice parameters (Å, degrees): 7.533 7.386 7.470 119.63 120.28 90.00
Site moments in Bohr magnetons follow the coordinates.
Fractional coordinates of all 18 atoms:
O  0.425  0.675  0.850  0.15
O  0.815  0.069  0.250  0.16
Tl  0.853  0.603  0.706  0.00
O  0.815  0.681  0.250  0.16
Sb  0.500  0.500  0.000  -0.02
Tl  0.147  0.397  0.294  0.00
O  0.188  0.938  0.377  0.17
Nb  0.500  0.000  0.500  -0.07
Nb  0.000  0.000  0.500  -0.07
O  0.185  0.319  0.750  0.16
O  0.812  0.062  0.623  0.17
Sb  0.500  0.000  0.000  -0.02
O  0.575  0.325  0.150  0.15
O  0.565  0.931  0.750  0.16
O  0.185  0.931  0.750  0.16
O  0.565  0.319  0.750  0.16
O  0.435  0.681  0.250  0.16
O  0.435  0.069  0.250  0.16

## Properties
- energy relative to the elements, uncorrected (eV/atom) = -1.5710
- space-group type = No. 74


For each record above, in turn, the calculated electronic total energy values are -5.85, -2.87, -5.66, -2.03, -3.97, -6.72 eV/atom.
For each record above, in turn, the calculated magnetic moment values are 2.3, 2.4, 0.0, 0.0, 2.6, 2.1 μB/cell.